A plane-wave DFT calculation with PBE-GGA was carried out for AcNdTeSe after structural relaxation.

Results
space-group type: No. 216
energy relative to the elements, uncorrected: -1.46 eV/atom
ΔE to the lowest computed polymorph: 201.7 meV per atom

Cell: 5.482 5.482 5.482 Å, 60.00 60.00 60.00°
Fractional coordinates of all 4 atoms:
1 Ac 0.000 0.000 0.000
2 Nd 0.500 0.500 0.500
3 Te 0.750 0.750 0.750
4 Se 0.250 0.250 0.250

A plane-wave DFT calculation with PBE-GGA was carried out for Ac2NdTe2Se2 after structural relaxation.

Results
space-group type: No. 139
energy relative to the elements, uncorrected: -1.47 eV/atom

Cell: 9.238 9.238 9.238 Å, 145.45 145.45 49.66°
Fractional coordinates of all 7 atoms:
1 Ac 0.121 0.121 0.000
2 Ac 0.879 0.879 0.000
3 Nd 0.500 0.500 0.000
4 Te 0.315 0.315 0.000
5 Te 0.685 0.685 0.000
6 Se 0.000 0.500 0.500
7 Se 0.500 0.000 0.500

A plane-wave DFT calculation with PBE-GGA was carried out for Ac3NdTh2Se6 after structural relaxation.

Results
space-group type: No. 12
energy relative to the elements, uncorrected: -1.73 eV/atom

Cell: 7.448 7.448 7.591 Å, 99.40 99.40 119.80°
Fractional coordinates of all 12 atoms:
1 Ac 0.000 0.000 0.000
2 Ac 0.335 0.665 0.000
3 Ac 0.665 0.335 0.000
4 Nd 0.500 0.500 0.500
5 Th 0.167 0.833 0.500
6 Th 0.833 0.167 0.500
7 Se 0.087 0.421 0.265
8 Se 0.243 0.243 0.733
9 Se 0.421 0.087 0.265
10 Se 0.579 0.913 0.735
11 Se 0.757 0.757 0.267
12 Se 0.913 0.579 0.735

A plane-wave DFT calculation with PBE-GGA was carried out for Ac3Nd2ThSe6 after structural relaxation.

Results
space-group type: No. 12
energy relative to the elements, uncorrected: -1.79 eV/atom

Cell: 7.475 7.475 7.602 Å, 99.47 99.47 120.12°
Fractional coordinates of all 12 atoms:
1 Ac 0.000 0.000 0.000
2 Ac 0.332 0.668 0.000
3 Ac 0.668 0.332 0.000
4 Nd 0.166 0.834 0.500
5 Nd 0.834 0.166 0.500
6 Th 0.500 0.500 0.500
7 Se 0.091 0.422 0.267
8 Se 0.247 0.247 0.736
9 Se 0.422 0.091 0.267
10 Se 0.578 0.909 0.733
11 Se 0.753 0.753 0.264
12 Se 0.909 0.578 0.733

no.,E_tot (eV per atom)
1,-5.331
2,-5.220
3,-6.133
4,-5.972